# 1
VIrOF2: optimized geometry, PBE with a Hubbard U.

Cell and atoms, written as POSCAR:
```
VIrOF2
1.0
-2.421 -3.634 -1.119
2.572 -2.542 2.691
-2.314 0.667 2.842
F Ir O V
2 1 1 1
direct
0.000 0.500 0.000
0.500 0.000 0.000
0.000 0.000 0.000
0.000 0.000 0.500
0.500 0.500 0.500
```

Computed properties:
Symmetry: P4/mmm, No. 123
ρ in g/cm3: 6.52
VASP energy in eV per formula unit: -26.089
Total magnetization in Bohr magnetons per cell: 1.4
Fermi-level density of states in states/eV per cell: 2.8

# 2
VIrOF2: optimized geometry, PBE with a Hubbard U.

Cell and atoms, written as POSCAR:
```
VIrOF2
1.0
-1.194 0.540 -3.867
-0.689 -4.009 -0.347
-3.528 0.506 1.160
F Ir O V
2 1 1 1
direct
0.000 0.500 0.000
0.500 0.000 0.000
0.500 0.500 0.500
0.000 0.000 0.500
0.000 0.000 0.000
```

Computed properties:
Symmetry: P4/mmm, No. 123
ρ in g/cm3: 7.90
VASP energy in eV per formula unit: -27.485
Total magnetization in Bohr magnetons per cell: 0.7
Fermi-level density of states in states/eV per cell: 7.8

- Fermi-level density of states of number 2 (VIrOF2)?
  7.8 states/eV per cell

- Look up the ρ of the first one.
  6.52 g/cm3

- ρ of number 2 (VIrOF2)?
  7.90 g/cm3